Entry 1:
Density functional theory data (PBE-GGA) for CeU2RhN5 after structural relaxation.

Values from the calculation:
Spin magnetization in μB per cell: 4.06
D(E_F) in states/eV per atom: 1.10
Formation energy from raw total energies in eV per atom: -1.1022

```
CeU2RhN5
1.0
5.685 0.000 0.000
0.000 6.440 0.000
0.000 0.000 6.440
Ce U Rh N
2 4 2 10
Cartesian
0.000 3.220 3.220
0.000 0.000 0.000
2.842 4.312 1.092
2.842 1.092 2.129
2.842 5.349 4.312
2.842 2.129 5.349
0.000 0.000 3.220
0.000 3.220 0.000
2.842 3.220 3.220
2.842 0.000 0.000
1.410 1.021 4.241
1.410 5.419 2.199
1.410 2.199 1.021
1.410 4.241 5.419
4.275 1.021 4.241
4.275 4.241 5.419
4.275 5.419 2.199
4.275 2.199 1.021
```


Entry 2:
Density functional theory data (PBE-GGA) for TaTe6Pd after structural relaxation.

Values from the calculation:
Spin magnetization in μB per cell: 0.00
D(E_F) in states/eV per atom: 0.55
Formation energy from raw total energies in eV per atom: -0.1070

```
TaTe6Pd
1.0
6.880 0.019 0.035
3.440 5.981 0.035
3.444 1.999 5.478
Ta Te Pd
1 6 1
Cartesian
6.882 3.999 2.774
4.462 4.120 4.078
7.966 1.861 4.126
5.579 1.963 1.452
5.799 6.137 1.422
9.302 3.878 1.471
8.186 6.035 4.096
0.000 0.000 0.000
```


Entry 3:
Density functional theory data (PBE-GGA) for NaPI3 after structural relaxation.

Values from the calculation:
Spin magnetization in μB per cell: 1.00
D(E_F) in states/eV per atom: 1.66
Formation energy from raw total energies in eV per atom: 0.4895

```
NaPI3
1.0
5.963 0.000 0.000
0.000 5.963 0.000
0.000 0.000 5.963
I P Na
3 1 1
Cartesian
0.000 2.981 0.000
0.000 0.000 2.981
2.981 0.000 0.000
2.981 2.981 2.981
0.000 0.000 0.000
```


Entry 4:
Density functional theory data (PBE-GGA) for KMgGaNi2 after structural relaxation.

Values from the calculation:
Spin magnetization in μB per cell: 0.00
Formation energy in kcal/mol of atoms: 35.5
D(E_F) in states/eV per atom: 0.87

```
KMgGaNi2
1.0
-0.701 3.966 -2.421
-3.495 1.644 3.705
3.490 2.066 2.374
Ni K Mg Ga
2 1 1 1
Cartesian
1.745 1.033 1.187
-0.351 1.983 -1.211
0.000 0.000 0.000
-0.353 3.838 1.829
-1.747 0.822 1.852
```


Entry 5:
Density functional theory data (PBE-GGA) for SiTeS2Cl after structural relaxation.

Values from the calculation:
Spin magnetization in μB per cell: 0.28
D(E_F) in states/eV per atom: 0.54
Formation energy from raw total energies in eV per atom: 0.6694

```
SiTeS2Cl
1.0
-2.841 4.270 0.588
-1.629 -0.412 -4.881
-3.908 -2.813 1.542
S Te Si Cl
2 1 1 1
Cartesian
-0.815 -0.206 -2.440
-1.420 2.135 0.294
0.000 0.000 0.000
-4.189 0.523 -1.375
-1.954 -1.406 0.771
```


Entry 6:
Density functional theory data (PBE-GGA) for Na3TbNp2Se6 after structural relaxation.

Values from the calculation:
Spin magnetization in μB per cell: 8.00
D(E_F) in states/eV per atom: 1.81
Formation energy from raw total energies in eV per atom: -1.3596

```
Na3TbNp2Se6
1.0
-7.093 1.473 0.219
2.283 -6.876 0.219
1.884 2.116 6.831
Na Tb Np Se
3 1 2 6
Cartesian
1.667 -4.431 3.634
-4.594 1.144 3.635
-1.463 -1.644 3.634
0.000 0.000 0.000
-0.842 -4.094 0.219
-3.969 -1.309 0.219
-3.750 -1.074 5.581
-3.146 -3.533 1.906
0.824 -2.213 1.688
-0.633 -3.850 5.580
0.219 0.246 5.363
-2.294 0.562 1.688
```


Entry 7:
Density functional theory data (PBE-GGA) for KGaPb2S4 after structural relaxation.

Values from the calculation:
Spin magnetization in μB per cell: 0.00
D(E_F) in states/eV per atom: 0.01
Formation energy from raw total energies in eV per atom: -0.5231

```
KGaPb2S4
1.0
-4.150 3.128 -6.571
-7.018 -0.025 4.576
6.632 3.942 2.821
K Ga Pb S
2 2 4 8
Cartesian
-3.509 -0.012 2.288
-4.343 5.087 -2.873
-2.268 3.523 0.413
-4.536 7.045 0.826
4.557 5.506 -0.465
-5.777 3.510 2.701
-0.834 5.099 -5.161
1.048 5.494 1.823
-6.507 0.635 2.455
-1.684 4.066 -1.722
-2.852 2.979 2.548
1.971 6.410 -1.629
-8.389 2.316 -1.453
-5.070 4.285 -0.042
0.534 2.760 0.868
3.853 4.729 2.279
```


Entry 8:
Density functional theory data (PBE-GGA) for Er2GaSn4 after structural relaxation.

Values from the calculation:
Spin magnetization in μB per cell: 0.00
Formation energy in kcal/mol of atoms: -9.2
D(E_F) in states/eV per atom: 0.65

```
Er2GaSn4
1.0
-1.435 3.347 2.470
-2.970 1.005 -3.087
-6.181 -5.674 4.099
Er Ga Sn
2 1 4
Cartesian
-5.440 -2.662 4.367
-2.943 -0.836 -0.576
-2.202 2.176 -0.309
-1.832 0.650 1.974
-6.551 -4.149 1.816
-5.293 -0.661 1.741
-3.090 -2.837 2.049
```


What is the spin magnetization in the second record?
0.00 μB per cell